(1)
The following is a PBE calculation of crystalline NaHfPO5 at its relaxed geometry, from Alexandria.

Computed properties:
Calculated density = 5.0 Mg/m³
Electronic total energy = -63.55 eV/f.u.

Cell and atoms, written as CIF:
```
data_NaHfPO5
_symmetry_space_group_name_H-M 'C 1 2/c 1'
_symmetry_Int_Tables_number 15
_cell_length_a 7.050
_cell_length_b 8.741
_cell_length_c 7.512
_cell_angle_alpha 90.00
_cell_angle_beta 115.80
_cell_angle_gamma 90.00
loop_
_symmetry_equiv_pos_as_xyz
'x,y,z'
'-x,-y,-z'
'-x,y,-z+1/2'
'x,-y,z+1/2'
'x+1/2,y+1/2,z'
'-x+1/2,-y+1/2,-z'
'-x+1/2,y+1/2,-z+1/2'
'x+1/2,-y+1/2,z+1/2'
loop_
_atom_site_label
_atom_site_fract_x
_atom_site_fract_y
_atom_site_fract_z
_atom_site_occupancy
Na1 0.000 0.171 0.250 1
Hf1 0.000 0.500 0.000 1
P1 0.000 0.173 0.750 1
O1 0.000 0.423 0.250 1
O2 0.079 0.275 0.625 1
O3 0.179 0.066 0.889 1
```

=====

(2)
The following is a PBE calculation of crystalline HoTl2Pb at its relaxed geometry, from Alexandria.

Computed properties:
Calculated density = 11.7 Mg/m³
DFT formation energy = -0.2286 eV/atom
Electronic total energy = -13.93 eV/f.u.

Cell and atoms, written as CIF:
```
data_HoTl2Pb
_symmetry_space_group_name_H-M 'P 4/m m m'
_symmetry_Int_Tables_number 123
_symmetry_space_group_name_Hall '-P 4 2'
_cell_length_a 4.661
_cell_length_b 4.661
_cell_length_c 5.109
_cell_angle_alpha 90.00
_cell_angle_beta 90.00
_cell_angle_gamma 90.00
loop_
_atom_site_label
_atom_site_fract_x
_atom_site_fract_y
_atom_site_fract_z
_atom_site_occupancy
Ho1 0.000 0.000 0.000 1
Tl1 0.000 0.500 0.500 1
Pb1 0.500 0.500 0.000 1
```

=====

(3)
The following is a PBE calculation of crystalline Zr3Al3Cu2 at its relaxed geometry, from Alexandria.

Computed properties:
Calculated density = 5.6 Mg/m³
DFT formation energy = -0.3097 eV/atom
E above lowest polymorph = 0.24 eV per formula unit
Electronic total energy = -47.54 eV/f.u.

Cell and atoms, written as CIF:
```
data_Zr3Al3Cu2
_symmetry_space_group_name_H-M 'P -1'
_symmetry_Int_Tables_number 2
_cell_length_a 5.602
_cell_length_b 7.099
_cell_length_c 7.681
_cell_angle_alpha 79.92
_cell_angle_beta 71.68
_cell_angle_gamma 81.34
loop_
_symmetry_equiv_pos_as_xyz
'x,y,z'
'-x,-y,-z'
loop_
_atom_site_label
_atom_site_fract_x
_atom_site_fract_y
_atom_site_fract_z
_atom_site_occupancy
Zr1 0.148 0.091 0.308 1
Zr2 0.150 0.791 0.006 1
Zr3 0.304 0.564 0.365 1
Al1 0.309 0.404 0.038 1
Al2 0.390 0.833 0.600 1
Al3 0.411 0.120 0.871 1
Cu1 0.140 0.525 0.759 1
Cu2 0.186 0.205 0.630 1
```

=====

(4)
The following is a PBE calculation of crystalline CsK3RbO at its relaxed geometry, from Alexandria.

Computed properties:
Calculated density = 1.4 Mg/m³
Electronic total energy = -12.93 eV/f.u.

Cell and atoms, written as CIF:
```
data_CsK3RbO
_symmetry_space_group_name_H-M 'C 1 2/c 1'
_symmetry_Int_Tables_number 15
_cell_length_a 8.122
_cell_length_b 28.610
_cell_length_c 7.355
_cell_angle_alpha 90.00
_cell_angle_beta 96.36
_cell_angle_gamma 90.00
loop_
_symmetry_equiv_pos_as_xyz
'x,y,z'
'-x,-y,-z'
'-x,y,-z+1/2'
'x,-y,z+1/2'
'x+1/2,y+1/2,z'
'-x+1/2,-y+1/2,-z'
'-x+1/2,y+1/2,-z+1/2'
'x+1/2,-y+1/2,z+1/2'
loop_
_atom_site_label
_atom_site_fract_x
_atom_site_fract_y
_atom_site_fract_z
_atom_site_occupancy
Cs1 0.000 0.245 0.250 1
K1 0.000 0.113 0.750 1
K2 0.197 0.010 0.503 1
Rb1 0.000 0.367 0.750 1
O1 0.000 0.027 0.750 1
```

=====

(5)
The following is a PBE calculation of crystalline Sr4Tl3Pt at its relaxed geometry, from Alexandria.

Computed properties:
Calculated density = 7.5 Mg/m³
DFT formation energy = -0.4878 eV/atom
Electronic total energy = -23.77 eV/f.u.

Cell and atoms, written as CIF:
```
data_Sr4Tl3Pt
_symmetry_space_group_name_H-M 'P 4/m m m'
_symmetry_Int_Tables_number 123
_symmetry_space_group_name_Hall '-P 4 2'
_cell_length_a 3.924
_cell_length_b 3.924
_cell_length_c 16.595
_cell_angle_alpha 90.00
_cell_angle_beta 90.00
_cell_angle_gamma 90.00
loop_
_atom_site_label
_atom_site_fract_x
_atom_site_fract_y
_atom_site_fract_z
_atom_site_occupancy
Sr1 0.000 0.000 0.104 1
Sr2 0.000 0.000 0.371 1
Tl1 0.500 0.500 0.243 1
Tl2 0.500 0.500 0.500 1
Pt1 0.500 0.500 0.000 1
```

=====

(6)
The following is a PBE calculation of crystalline LaRuRh4 at its relaxed geometry, from Alexandria.

Computed properties:
Calculated density = 10.4 Mg/m³
DFT formation energy = 0.0174 eV/atom
Electronic total energy = -43.50 eV/f.u.

Cell and atoms, written as CIF:
```
data_LaRuRh4
_symmetry_space_group_name_H-M 'F -4 3 m'
_symmetry_Int_Tables_number 216
_symmetry_space_group_name_Hall 'F -4 2 3'
_cell_length_a 7.474
_cell_length_b 7.474
_cell_length_c 7.474
_cell_angle_alpha 90.00
_cell_angle_beta 90.00
_cell_angle_gamma 90.00
loop_
_atom_site_label
_atom_site_fract_x
_atom_site_fract_y
_atom_site_fract_z
_atom_site_occupancy
La1 0.000 0.000 0.000 1
Ru1 0.250 0.250 0.250 1
Rh1 0.124 0.124 0.624 1
```

=====

(7)
The following is a PBE calculation of crystalline SrGa2SiPd4 at its relaxed geometry, from Alexandria.

Computed properties:
Calculated density = 7.6 Mg/m³
Electronic total energy = -38.98 eV/f.u.

Cell and atoms, written as CIF:
```
data_SrGa2SiPd4
_symmetry_space_group_name_H-M 'R -3 m'
_symmetry_Int_Tables_number 166
_symmetry_space_group_name_Hall '-R 3 2"'
_cell_length_a 4.3216
_cell_length_b 4.3216
_cell_length_c 27.5610
_cell_angle_alpha 90.00
_cell_angle_beta 90.00
_cell_angle_gamma 120.00
loop_
_atom_site_label
_atom_site_fract_x
_atom_site_fract_y
_atom_site_fract_z
_atom_site_occupancy
Sr1 0.0000 0.0000 0.0000 1
Ga1 0.0000 0.0000 0.2461 1
Si1 0.0000 0.0000 0.5000 1
Pd1 0.0000 0.0000 0.1404 1
Pd2 0.0000 0.0000 0.4139 1
```

=====

(8)
The following is a PBE calculation of crystalline Rb8NbSe6 at its relaxed geometry, from Alexandria.

Computed properties:
Calculated density = 3.3 Mg/m³
Electronic total energy = -53.87 eV/f.u.

Cell and atoms, written as CIF:
```
data_Rb8NbSe6
_symmetry_space_group_name_H-M 'P m n 21'
_symmetry_Int_Tables_number 31
_cell_length_a 9.801
_cell_length_b 9.011
_cell_length_c 14.138
_cell_angle_alpha 90.00
_cell_angle_beta 90.00
_cell_angle_gamma 90.00
loop_
_symmetry_equiv_pos_as_xyz
'x,y,z'
'-x+1/2,-y,z+1/2'
'-x,y,z'
'x+1/2,-y,z+1/2'
loop_
_atom_site_label
_atom_site_fract_x
_atom_site_fract_y
_atom_site_fract_z
_atom_site_occupancy
Rb1 0.000 0.026 0.067 1
Rb2 0.000 0.141 0.617 1
Rb3 0.196 0.496 0.769 1
Rb4 0.226 0.670 0.500 1
Rb5 0.230 0.936 0.815 1
Nb1 0.000 0.636 0.122 1
Se1 0.000 0.210 0.858 1
Se2 0.000 0.369 0.171 1
Se3 0.000 0.771 0.666 1
Se4 0.000 0.781 0.273 1
Se5 0.206 0.702 0.027 1
```

=====

(9)
The following is a PBE calculation of crystalline AcPrNdCd at its relaxed geometry, from Alexandria.

Computed properties:
Calculated density = 7.7 Mg/m³
DFT formation energy = 0.0149 eV/atom
E above lowest polymorph = 0.66 eV per formula unit
Electronic total energy = -14.51 eV/f.u.

Cell and atoms, written as CIF:
```
data_AcPrNdCd
_symmetry_space_group_name_H-M 'F -4 3 m'
_symmetry_Int_Tables_number 216
_symmetry_space_group_name_Hall 'F -4 2 3'
_cell_length_a 8.133
_cell_length_b 8.133
_cell_length_c 8.133
_cell_angle_alpha 90.00
_cell_angle_beta 90.00
_cell_angle_gamma 90.00
loop_
_atom_site_label
_atom_site_fract_x
_atom_site_fract_y
_atom_site_fract_z
_atom_site_occupancy
Ac1 0.000 0.000 0.000 1
Pr1 0.250 0.250 0.250 1
Nd1 0.250 0.250 0.750 1
Cd1 0.000 0.000 0.500 1
```

=====

(10)
The following is a PBE calculation of crystalline YSc2 at its relaxed geometry, from Alexandria.

Computed properties:
Calculated density = 3.7 Mg/m³
DFT formation energy = 0.0715 eV/atom
E above lowest polymorph = 0.15 eV per formula unit
Electronic total energy = -18.91 eV/f.u.

Cell and atoms, written as CIF:
```
data_YSc2
_symmetry_space_group_name_H-M 'P -3 m 1'
_symmetry_Int_Tables_number 164
_symmetry_space_group_name_Hall '-P 3 2"'
_cell_length_a 3.3757
_cell_length_b 3.3757
_cell_length_c 8.1818
_cell_angle_alpha 90.00
_cell_angle_beta 90.00
_cell_angle_gamma 120.00
loop_
_atom_site_label
_atom_site_fract_x
_atom_site_fract_y
_atom_site_fract_z
_atom_site_occupancy
Y1 0.0000 0.0000 0.0000 1
Sc1 0.3333 0.6667 0.6572 1
```

=====

(11)
The following is a PBE calculation of crystalline Ac3MoSe6 at its relaxed geometry, from Alexandria.

Computed properties:
Calculated density = 6.9 Mg/m³
Electronic total energy = -58.97 eV/f.u.

Cell and atoms, written as CIF:
```
data_Ac3MoSe6
_symmetry_space_group_name_H-M 'P 1 21/c 1'
_symmetry_Int_Tables_number 14
_cell_length_a 7.211
_cell_length_b 7.871
_cell_length_c 12.468
_cell_angle_alpha 90.00
_cell_angle_beta 121.68
_cell_angle_gamma 90.00
loop_
_symmetry_equiv_pos_as_xyz
'x,y,z'
'-x,-y,-z'
'-x,y+1/2,-z+1/2'
'x,-y+1/2,z+1/2'
loop_
_atom_site_label
_atom_site_fract_x
_atom_site_fract_y
_atom_site_fract_z
_atom_site_occupancy
Ac1 0.000 0.000 0.000 1
Ac2 0.301 0.100 0.759 1
Mo1 0.500 0.000 0.500 1
Se1 0.140 0.038 0.275 1
Se2 0.264 0.673 0.066 1
Se3 0.405 0.203 0.064 1
```

=====

(12)
The following is a PBE calculation of crystalline CaAgP2 at its relaxed geometry, from Alexandria.

Computed properties:
Calculated density = 4.0 Mg/m³
DFT formation energy = -0.4652 eV/atom
Electronic total energy = -17.53 eV/f.u.

Cell and atoms, written as CIF:
```
data_CaAgP2
_symmetry_space_group_name_H-M 'P m m m'
_symmetry_Int_Tables_number 47
_cell_length_a 3.971
_cell_length_b 3.990
_cell_length_c 5.483
_cell_angle_alpha 90.00
_cell_angle_beta 90.00
_cell_angle_gamma 90.00
loop_
_symmetry_equiv_pos_as_xyz
'x,y,z'
'-x,-y,-z'
'-x,-y,z'
'x,y,-z'
'x,-y,-z'
'-x,y,z'
'-x,y,-z'
'x,-y,z'
loop_
_atom_site_label
_atom_site_fract_x
_atom_site_fract_y
_atom_site_fract_z
_atom_site_occupancy
Ca1 0.000 0.000 0.000 1
Ag1 0.500 0.000 0.500 1
P1 0.500 0.500 0.200 1
```